No. 1
First-principles (PBE-GGA) data for a relaxed NdSm2Ag crystal, as listed in the Alexandria database.

Summary:
Final energy (eV/atom): -4.26
E_form (eV per formula unit): 0.03
E above lowest polymorph (meV/atom): 123

a b c (Å): 6.3542 3.6742 10.8667
angles (deg): 90.00 101.19 90.00
Closest atoms and distances in Å follow each position.
Space group Cm (No. 8)
Symmetry-distinct sites (fractional):
Nd1 0.0000 0.0000 0.0000  6 Sm 3.66-3.68, 6 Nd 3.67
Sm1 0.2394 0.0000 0.7177  3 Ag 3.16
Sm2 0.4270 0.0000 0.2799  3 Ag 3.15
Ag1 0.3327 0.5000 0.4982  6 Sm 3.15-3.16



No. 2
First-principles (PBE-GGA) data for a relaxed Nd2SmAg crystal, as listed in the Alexandria database.

Summary:
Final energy (eV/atom): -4.27
E_form (eV per formula unit): 0.04
E above lowest polymorph (meV/atom): 111

a b c (Å): 3.6894 3.6894 32.0965
angles (deg): 90.00 90.00 120.00
Closest atoms and distances in Å follow each position.
Space group R3m (No. 160, hexagonal axes)
Symmetry-distinct sites (fractional):
Nd1 0.0000 0.0000 0.0000  3 Ag 3.21
Nd2 0.0000 0.0000 0.1849  3 Ag 3.18
Sm1 0.0000 0.0000 0.7596  6 Nd 3.64-3.67, 6 Sm 3.69
Ag1 0.0000 0.0000 0.5920  6 Nd 3.18-3.21